TaTlSe2: optimized geometry, PBE-GGA.

Calculated volume ... 27.159 Å³ per atom
Raw formation energy ... -0.4069 eV/atom
DFT total energy ... -91.26 eV for the cell shown
Total magnetic moment ... 0.0 μB/f.u.

```
data_TaTlSe2
_chemical_formula_sum 'Ta4 Tl4 Se8'
_cell_length_a 6.005
_cell_length_b 6.239
_cell_length_c 11.599
_cell_angle_alpha 90.00
_cell_angle_beta 90.00
_cell_angle_gamma 90.00
_symmetry_space_group_name_H-M 'P n n a'
_symmetry_Int_Tables_number 52
loop_
_symmetry_equiv_pos_as_xyz
'x,y,z'
'-x,-y,-z'
'-x+1/2,-y,z'
'x+1/2,y,-z'
'x,-y+1/2,-z+1/2'
'-x,y+1/2,z+1/2'
'-x+1/2,y+1/2,-z+1/2'
'x+1/2,-y+1/2,z+1/2'
loop_
_atom_site_label
_atom_site_type_symbol
_atom_site_fract_x
_atom_site_fract_y
_atom_site_fract_z
_atom_site_occupancy
Ta1 Ta 0.250 0.000 0.017 1
Tl1 Tl 0.034 0.250 0.250 1
Se1 Se 0.032 0.234 0.596 1
```

Ta2Tl4Se11: optimized geometry, PBE-GGA.

Calculated volume ... 30.710 Å³ per atom
Raw formation energy ... -0.4981 eV/atom
DFT total energy ... -159.94 eV for the cell shown
Total magnetic moment ... 0.0 μB/f.u.

```
data_Ta2Tl4Se11
_chemical_formula_sum 'Ta4 Tl8 Se22'
_cell_length_a 8.305
_cell_length_b 9.360
_cell_length_c 14.091
_cell_angle_alpha 72.86
_cell_angle_beta 89.84
_cell_angle_gamma 86.09
_symmetry_space_group_name_H-M 'P -1'
_symmetry_Int_Tables_number 2
loop_
_symmetry_equiv_pos_as_xyz
'x,y,z'
'-x,-y,-z'
loop_
_atom_site_label
_atom_site_type_symbol
_atom_site_fract_x
_atom_site_fract_y
_atom_site_fract_z
_atom_site_occupancy
Ta1 Ta 0.127 0.363 0.305 1
Ta2 Ta 0.333 0.110 0.190 1
Tl1 Tl 0.049 0.761 0.983 1
Tl2 Tl 0.211 0.976 0.577 1
Tl3 Tl 0.228 0.418 0.584 1
Tl4 Tl 0.500 0.267 0.897 1
Se1 Se 0.015 0.715 0.535 1
Se2 Se 0.032 0.132 0.249 1
Se3 Se 0.061 0.651 0.252 1
Se4 Se 0.106 0.498 0.815 1
Se5 Se 0.261 0.402 0.114 1
Se6 Se 0.269 0.037 0.041 1
Se7 Se 0.339 0.862 0.333 1
Se8 Se 0.386 0.173 0.373 1
Se9 Se 0.398 0.436 0.358 1
Se10 Se 0.412 0.078 0.750 1
Se11 Se 0.462 0.692 0.877 1
```

Ta2TlSe: optimized geometry, PBE-GGA.

Calculated volume ... 18.822 Å³ per atom
Raw formation energy ... 0.4308 eV/atom
DFT total energy ... -27.83 eV for the cell shown
Total magnetic moment ... 0.0 μB/f.u.

```
data_Ta2TlSe
_chemical_formula_sum 'Ta2 Tl1 Se1'
_cell_length_a 4.865
_cell_length_b 4.865
_cell_length_c 3.181
_cell_angle_alpha 90.00
_cell_angle_beta 90.00
_cell_angle_gamma 90.00
_symmetry_space_group_name_H-M 'P 4/m m m'
_symmetry_Int_Tables_number 123
_symmetry_space_group_name_Hall '-P 4 2'
loop_
_atom_site_label
_atom_site_type_symbol
_atom_site_fract_x
_atom_site_fract_y
_atom_site_fract_z
_atom_site_occupancy
Ta1 Ta 0.000 0.500 0.000 1
Tl1 Tl 0.000 0.000 0.500 1
Se1 Se 0.500 0.500 0.500 1
```

TaTlSe2: optimized geometry, PBE-GGA.

Calculated volume ... 27.510 Å³ per atom
Raw formation energy ... -0.1948 eV/atom
DFT total energy ... -43.93 eV for the cell shown
Total magnetic moment ... 0.0 μB/f.u.

```
data_TaTlSe2
_chemical_formula_sum 'Ta2 Tl2 Se4'
_cell_length_a 3.392
_cell_length_b 6.156
_cell_length_c 10.539
_cell_angle_alpha 90.00
_cell_angle_beta 90.00
_cell_angle_gamma 90.00
_symmetry_space_group_name_H-M 'I m m m'
_symmetry_Int_Tables_number 71
_symmetry_space_group_name_Hall '-I 2 2'
loop_
_atom_site_label
_atom_site_type_symbol
_atom_site_fract_x
_atom_site_fract_y
_atom_site_fract_z
_atom_site_occupancy
Ta1 Ta 0.000 0.000 0.000 1
Tl1 Tl 0.000 0.000 0.500 1
Se1 Se 0.000 0.500 0.321 1
```

Ta2TlSe: optimized geometry, PBE-GGA.

Calculated volume ... 19.744 Å³ per atom
Raw formation energy ... 0.4841 eV/atom
DFT total energy ... -27.62 eV for the cell shown
Total magnetic moment ... 0.0 μB/f.u.

```
data_Ta2TlSe
_chemical_formula_sum 'Ta2 Tl1 Se1'
_cell_length_a 3.322
_cell_length_b 4.712
_cell_length_c 5.044
_cell_angle_alpha 90.00
_cell_angle_beta 90.00
_cell_angle_gamma 90.00
_symmetry_space_group_name_H-M 'P m m m'
_symmetry_Int_Tables_number 47
loop_
_symmetry_equiv_pos_as_xyz
'x,y,z'
'-x,-y,-z'
'-x,-y,z'
'x,y,-z'
'x,-y,-z'
'-x,y,z'
'-x,y,-z'
'x,-y,z'
loop_
_atom_site_label
_atom_site_type_symbol
_atom_site_fract_x
_atom_site_fract_y
_atom_site_fract_z
_atom_site_occupancy
Ta1 Ta 0.000 0.000 0.000 1
Ta2 Ta 0.500 0.000 0.500 1
Tl1 Tl 0.000 0.500 0.500 1
Se1 Se 0.500 0.500 0.000 1
```

Ta2TlSe: optimized geometry, PBE-GGA.

Calculated volume ... 21.998 Å³ per atom
Raw formation energy ... 0.2922 eV/atom
DFT total energy ... -56.77 eV for the cell shown
Total magnetic moment ... 0.0 μB/f.u.

```
data_Ta2TlSe
_chemical_formula_sum 'Ta4 Tl2 Se2'
_cell_length_a 9.265
_cell_length_b 3.202
_cell_length_c 6.016
_cell_angle_alpha 90.00
_cell_angle_beta 99.58
_cell_angle_gamma 90.00
_symmetry_space_group_name_H-M 'C 1 m 1'
_symmetry_Int_Tables_number 8
loop_
_symmetry_equiv_pos_as_xyz
'x,y,z'
'x,-y,z'
'x+1/2,y+1/2,z'
'x+1/2,-y+1/2,z'
loop_
_atom_site_label
_atom_site_type_symbol
_atom_site_fract_x
_atom_site_fract_y
_atom_site_fract_z
_atom_site_occupancy
Ta1 Ta 0.000 0.000 0.000 1
Ta2 Ta 0.225 0.500 0.225 1
Tl1 Tl 0.243 0.000 0.733 1
Se1 Se 0.461 0.000 0.336 1
```

TaTlSe2: optimized geometry, PBE-GGA.

Calculated volume ... 21.399 Å³ per atom
Raw formation energy ... 0.5057 eV/atom
DFT total energy ... -38.33 eV for the cell shown
Total magnetic moment ... 1.4 μB/f.u.

```
data_TaTlSe2
_chemical_formula_sum 'Ta2 Tl2 Se4'
_cell_length_a 4.157
_cell_length_b 4.157
_cell_length_c 9.905
_cell_angle_alpha 90.00
_cell_angle_beta 90.00
_cell_angle_gamma 90.00
_symmetry_space_group_name_H-M 'I -4 m 2'
_symmetry_Int_Tables_number 119
_symmetry_space_group_name_Hall 'I -4 -2'
loop_
_atom_site_label
_atom_site_type_symbol
_atom_site_fract_x
_atom_site_fract_y
_atom_site_fract_z
_atom_site_occupancy
Ta1 Ta 0.000 0.000 0.000 1
Tl1 Tl 0.000 0.500 0.750 1
Se1 Se 0.000 0.000 0.500 1
Se2 Se 0.000 0.500 0.250 1
```

TaTlSe2: optimized geometry, PBE-GGA.

Calculated volume ... 23.675 Å³ per atom
Raw formation energy ... 0.0314 eV/atom
DFT total energy ... -63.19 eV for the cell shown
Total magnetic moment ... 0.0 μB/f.u.

```
data_TaTlSe2
_chemical_formula_sum 'Ta3 Tl3 Se6'
_cell_length_a 3.4006
_cell_length_b 3.4006
_cell_length_c 28.3674
_cell_angle_alpha 90.00
_cell_angle_beta 90.00
_cell_angle_gamma 120.00
_symmetry_space_group_name_H-M 'R 3 m'
_symmetry_Int_Tables_number 160
_symmetry_space_group_name_Hall 'R 3 -2"'
loop_
_atom_site_label
_atom_site_type_symbol
_atom_site_fract_x
_atom_site_fract_y
_atom_site_fract_z
_atom_site_occupancy
Ta1 Ta 0.0000 0.0000 0.0000 1
Tl1 Tl 0.0000 0.0000 0.4173 1
Se1 Se 0.0000 0.0000 0.2751 1
Se2 Se 0.0000 0.0000 0.8251 1
```

TaTlSe2: optimized geometry, PBE-GGA.

Calculated volume ... 25.157 Å³ per atom
Raw formation energy ... -0.5931 eV/atom
DFT total energy ... -23.56 eV for the cell shown
Total magnetic moment ... 0.0 μB/f.u.

```
data_TaTlSe2
_chemical_formula_sum 'Ta1 Tl1 Se2'
_cell_length_a 3.4673
_cell_length_b 3.4673
_cell_length_c 9.6650
_cell_angle_alpha 90.00
_cell_angle_beta 90.00
_cell_angle_gamma 120.00
_symmetry_space_group_name_H-M 'P 3 m 1'
_symmetry_Int_Tables_number 156
loop_
_symmetry_equiv_pos_as_xyz
'x,y,z'
'-y,x-y,z'
'-x+y,-x,z'
'-y,-x,z'
'-x+y,y,z'
'x,x-y,z'
loop_
_atom_site_label
_atom_site_type_symbol
_atom_site_fract_x
_atom_site_fract_y
_atom_site_fract_z
_atom_site_occupancy
Ta1 Ta 0.0000 0.0000 0.0000 1
Tl1 Tl 0.3333 0.6667 0.4928 1
Se1 Se 0.3333 0.6667 0.8265 1
Se2 Se 0.6667 0.3333 0.1749 1
```

Ta2TlSe: optimized geometry, PBE-GGA.

Calculated volume ... 19.975 Å³ per atom
Raw formation energy ... 0.3813 eV/atom
DFT total energy ... -56.06 eV for the cell shown
Total magnetic moment ... 0.0 μB/f.u.

```
data_Ta2TlSe
_chemical_formula_sum 'Ta4 Tl2 Se2'
_cell_length_a 3.113
_cell_length_b 5.522
_cell_length_c 9.296
_cell_angle_alpha 90.00
_cell_angle_beta 90.00
_cell_angle_gamma 90.00
_symmetry_space_group_name_H-M 'C m m m'
_symmetry_Int_Tables_number 65
_symmetry_space_group_name_Hall '-C 2 2'
loop_
_atom_site_label
_atom_site_type_symbol
_atom_site_fract_x
_atom_site_fract_y
_atom_site_fract_z
_atom_site_occupancy
Ta1 Ta 0.000 0.000 0.226 1
Tl1 Tl 0.000 0.500 0.500 1
Se1 Se 0.000 0.500 0.000 1
```